# 1
{
  "formula": "Si2Se",
  "functional": "PBE",
  "state": "optimized geometry",
  "energy_ev_per_atom": -4.6956,
  "crystal_system": "orthorhombic",
  "spacegroup": "No. 62",
  "formation_energy_uncorrected_kcal_per_mol_atoms": 1.9,
  "dos_at_fermi_per_ev_cell": 4.291,
  "polymorph_energy_mev_per_atom": 249.7,
  "cell": [[5.632, 0.000, 0.000], [0.000, 4.446, 0.000], [0.000, 0.000, 9.586]],
  "species": ["Si", "Si", "Si", "Si", "Si", "Si", "Si", "Si", "Se", "Se", "Se", "Se"],
  "fractional_positions": [[0.073, 0.250, 0.027], [0.214, 0.250, 0.259], [0.286, 0.750, 0.759], [0.427, 0.750, 0.527], [0.573, 0.250, 0.473], [0.714, 0.250, 0.241], [0.786, 0.750, 0.741], [0.927, 0.750, 0.973], [0.110, 0.750, 0.359], [0.390, 0.250, 0.859], [0.610, 0.750, 0.141], [0.890, 0.250, 0.641]]
}



# 2
{
  "formula": "AcPuNi4",
  "functional": "PBE",
  "state": "optimized geometry",
  "energy_ev_per_atom": -7.0933,
  "ef_ev_per_atom": -0.166,
  "crystal_system": "cubic",
  "spacegroup": "No. 216",
  "dos_at_fermi_per_ev_cell": 17.474,
  "cell": [[0.000, 3.679, 3.679], [3.679, 0.000, 3.679], [3.679, 3.679, 0.000]],
  "species": ["Ac", "Pu", "Ni", "Ni", "Ni", "Ni"],
  "fractional_positions": [[0.000, 0.000, 0.000], [0.750, 0.750, 0.750], [0.377, 0.377, 0.377], [0.377, 0.377, 0.869], [0.377, 0.869, 0.377], [0.869, 0.377, 0.377]]
}



# 3
{
  "formula": "Na5AlZn6",
  "functional": "PBE",
  "state": "optimized geometry",
  "energy_ev_per_atom": -1.3497,
  "ef_ev_per_atom": 0.149,
  "crystal_system": "monoclinic",
  "spacegroup": "No. 12",
  "dos_at_fermi_per_ev_cell": 3.811,
  "cell": [[2.787, -4.845, 0.000], [2.787, 4.845, 0.000], [-1.803, 0.000, 9.634]],
  "species": ["Na", "Na", "Na", "Na", "Na", "Al", "Zn", "Zn", "Zn", "Zn", "Zn", "Zn"],
  "fractional_positions": [[0.000, 0.000, 0.000], [0.167, 0.833, 0.500], [0.328, 0.672, 0.000], [0.672, 0.328, 0.000], [0.833, 0.167, 0.500], [0.500, 0.500, 0.500], [0.131, 0.420, 0.262], [0.285, 0.285, 0.739], [0.420, 0.131, 0.262], [0.580, 0.869, 0.738], [0.715, 0.715, 0.261], [0.869, 0.580, 0.738]]
}



# 4
{
  "formula": "KNaCd",
  "functional": "PBE",
  "state": "optimized geometry",
  "energy_ev_per_atom": -1.1284,
  "ef_ev_per_atom": -0.018,
  "crystal_system": "tetragonal",
  "spacegroup": "No. 107",
  "dos_at_fermi_per_ev_cell": 1.328,
  "polymorph_energy_mev_per_atom": 28.3,
  "cell": [[-2.097, 2.097, 6.531], [2.097, -2.097, 6.531], [2.097, 2.097, -6.531]],
  "species": ["K", "Na", "Cd"],
  "fractional_positions": [[0.000, 0.000, 0.000], [0.286, 0.286, 0.000], [0.679, 0.679, 0.000]]
}